Record 1
Material: SrAl2H8
Method: DFT, PBE
State: optimized geometry

abc: 5.773 5.773 8.780
angles: 100.98 100.98 76.76
Positions (direct):
Sr  0.226  0.774  0.750
Sr  0.774  0.226  0.250
Al  0.208  0.269  0.005
Al  0.269  0.208  0.505
Al  0.731  0.792  0.495
Al  0.792  0.731  0.995
H  0.017  0.711  0.468
H  0.057  0.637  0.940
H  0.193  0.226  0.813
H  0.226  0.193  0.313
H  0.289  0.983  0.032
H  0.363  0.943  0.560
H  0.406  0.417  0.108
H  0.417  0.406  0.608
H  0.583  0.594  0.392
H  0.594  0.583  0.892
H  0.637  0.057  0.440
H  0.711  0.017  0.968
H  0.774  0.807  0.687
H  0.807  0.774  0.187
H  0.943  0.363  0.060
H  0.983  0.289  0.532

Summary:
Space-group type: No. 15
VASP energy in eV per atom: -3.4410
Magnetic moment in μB per cell: 0.000



Record 2
Material: SrAlH2
Method: DFT, PBE
State: optimized geometry

abc: 6.611 6.611 6.611
angles: 137.82 137.82 61.18
Positions (direct):
Sr  0.000  0.000  0.000
Sr  0.750  0.250  0.500
Al  0.250  0.750  0.500
Al  0.500  0.500  0.000
H  0.220  0.625  0.095
H  0.375  0.470  0.595
H  0.530  0.125  0.905
H  0.875  0.780  0.405

Summary:
Space-group type: No. 122
Polymorph energy (0 for the lowest one) in eV per formula unit: 0.00
VASP energy in eV per atom: -2.9891
Magnetic moment in μB per cell: 0.000



Record 3
Material: Sr2AlH7
Method: DFT, PBE
State: optimized geometry

abc: 8.285 8.285 7.927
angles: 110.25 110.25 71.42
Positions (direct):
Sr  0.077  0.736  0.979
Sr  0.264  0.923  0.521
Sr  0.290  0.433  0.524
Sr  0.433  0.290  0.024
Sr  0.567  0.710  0.976
Sr  0.710  0.567  0.476
Sr  0.736  0.077  0.479
Sr  0.923  0.264  0.021
Al  0.026  0.320  0.693
Al  0.320  0.026  0.193
Al  0.680  0.974  0.807
Al  0.974  0.680  0.307
H  0.010  0.525  0.668
H  0.034  0.114  0.708
H  0.081  0.742  0.544
H  0.109  0.396  0.930
H  0.114  0.034  0.208
H  0.194  0.614  0.274
H  0.239  0.242  0.670
H  0.242  0.239  0.170
H  0.258  0.919  0.956
H  0.340  0.542  0.873
H  0.386  0.806  0.226
H  0.396  0.109  0.430
H  0.458  0.660  0.627
H  0.475  0.990  0.832
H  0.525  0.010  0.168
H  0.542  0.340  0.373
H  0.604  0.891  0.570
H  0.614  0.194  0.774
H  0.660  0.458  0.127
H  0.742  0.081  0.044
H  0.758  0.761  0.830
H  0.761  0.758  0.330
H  0.806  0.386  0.726
H  0.886  0.966  0.792
H  0.891  0.604  0.070
H  0.919  0.258  0.456
H  0.966  0.886  0.292
H  0.990  0.475  0.332

Summary:
Space-group type: No. 15
VASP energy in eV per atom: -3.4833
Magnetic moment in μB per cell: 0.000



Record 4
Material: Sr2AlH2
Method: DFT, PBE
State: optimized geometry

abc: 7.775 7.775 3.348
angles: 90.00 90.00 90.00
Positions (direct):
Sr  0.178  0.322  0.000
Sr  0.322  0.822  0.000
Sr  0.678  0.178  0.000
Sr  0.822  0.678  0.000
Al  0.000  0.000  0.500
Al  0.500  0.500  0.500
H  0.120  0.620  0.500
H  0.380  0.120  0.500
H  0.620  0.880  0.500
H  0.880  0.380  0.500

Summary:
Space-group type: No. 127
Polymorph energy (0 for the lowest one) in eV per formula unit: 1.25
VASP energy in eV per atom: -2.8077
Magnetic moment in μB per cell: 0.000



Record 5
Material: Sr3AlH
Method: DFT, PBE
State: optimized geometry

abc: 5.287 5.287 5.287
angles: 90.00 90.00 90.00
Positions (direct):
Sr  0.000  0.000  0.500
Sr  0.000  0.500  0.000
Sr  0.500  0.000  0.000
Al  0.500  0.500  0.500
H  0.000  0.000  0.000

Summary:
Space-group type: No. 221
Polymorph energy (0 for the lowest one) in eV per formula unit: 0.00
VASP energy in eV per atom: -2.5775
Magnetic moment in μB per cell: 0.000



Record 6
Material: SrAlH3
Method: DFT, PBE
State: optimized geometry

abc: 6.575 6.575 6.575
angles: 145.63 121.32 69.81
Positions (direct):
Sr  0.178  0.178  0.000
Sr  0.822  0.822  0.000
Al  0.294  0.500  0.794
Al  0.706  0.500  0.206
H  0.065  0.338  0.727
H  0.244  0.000  0.244
H  0.390  0.662  0.727
H  0.610  0.338  0.273
H  0.756  0.000  0.756
H  0.935  0.662  0.273

Summary:
Space-group type: No. 71
Polymorph energy (0 for the lowest one) in eV per formula unit: 0.00
VASP energy in eV per atom: -3.3575
Magnetic moment in μB per cell: 0.000



Record 7
Material: Sr3AlH
Method: DFT, PBE
State: optimized geometry

abc: 8.350 3.966 10.059
angles: 90.00 91.16 90.00
Positions (direct):
Sr  0.083  0.250  0.328
Sr  0.280  0.250  0.977
Sr  0.349  0.750  0.609
Sr  0.651  0.250  0.391
Sr  0.720  0.750  0.023
Sr  0.917  0.750  0.672
Al  0.385  0.750  0.242
Al  0.615  0.250  0.758
H  0.113  0.250  0.581
H  0.887  0.750  0.419

Summary:
Space-group type: No. 11
Polymorph energy (0 for the lowest one) in eV per formula unit: 0.10
VASP energy in eV per atom: -2.5584
Magnetic moment in μB per cell: 0.001



Record 8
Material: SrAlH2
Method: DFT, PBE
State: optimized geometry

abc: 4.420 4.420 4.420
angles: 60.00 60.00 60.00
Positions (direct):
Sr  0.000  0.000  0.000
Al  0.500  0.500  0.500
H  0.250  0.250  0.250
H  0.750  0.750  0.750

Summary:
Space-group type: No. 225
Polymorph energy (0 for the lowest one) in eV per formula unit: 0.55
VASP energy in eV per atom: -2.8508
Magnetic moment in μB per cell: 0.000